# 1
SmSiAgO4 after structural relaxation, computed with PBE.

Summary:
Uncorrected energy   -99.65 eV/cell
SG   No. 11

POSCAR file:
```
SmSiAgO4
1.0
5.984 0.000 0.000
0.000 6.177 0.000
-1.257 0.000 6.596
Sm Si Ag O
2 2 2 8
Cartesian
1.113 1.544 0.290
3.614 4.633 6.306
0.603 4.633 5.608
4.124 1.544 0.988
2.167 4.633 2.548
2.560 1.544 4.048
-0.427 3.352 5.506
-0.427 5.913 5.506
2.615 4.633 0.489
1.938 4.633 4.641
2.789 1.544 1.956
2.112 1.544 6.108
5.154 0.264 1.091
5.154 2.824 1.091
```


# 2
SmSi2AgO6 after structural relaxation, computed with PBE.

Summary:
Uncorrected energy   -144.92 eV/cell
SG   No. 15

POSCAR file:
```
SmSi2AgO6
1.0
3.750 -5.605 0.000
3.750 5.605 0.000
-1.447 0.000 6.621
Sm Si Ag O
2 4 2 12
Cartesian
2.664 4.563 4.965
3.388 -4.563 1.655
2.320 3.736 0.871
4.456 3.736 2.439
1.597 -3.736 4.182
3.732 -3.736 5.749
2.664 0.103 4.965
3.388 -0.103 1.655
1.478 2.305 0.984
2.756 3.869 2.635
4.020 3.869 0.675
0.625 0.359 5.885
1.348 -0.359 2.575
0.754 -2.305 4.294
5.298 2.305 2.327
4.704 0.359 4.046
5.428 -0.359 0.736
2.032 -3.869 5.946
3.296 -3.869 3.985
4.575 -2.305 5.637
```


# 3
TbSiAg2O4 after structural relaxation, computed with PBE.

Summary:
Uncorrected energy   -50.77 eV/cell
SG   No. 82

POSCAR file:
```
TbSiAg2O4
1.0
-2.642 2.642 4.588
2.642 -2.642 4.588
2.642 2.642 -4.588
Tb Si Ag O
1 1 2 4
Cartesian
0.000 0.000 0.000
0.000 2.642 2.294
2.642 0.000 2.294
0.000 0.000 4.588
1.547 0.771 -1.320
1.871 -1.095 5.908
1.095 1.871 3.268
0.771 3.737 1.320
```


# 4
TbSiAgO4 after structural relaxation, computed with PBE.

Summary:
Uncorrected energy   -99.85 eV/cell
SG   No. 11

POSCAR file:
```
TbSiAgO4
1.0
5.849 0.000 0.000
0.000 6.106 0.000
-1.427 0.000 6.567
Tb Si Ag O
2 2 2 8
Cartesian
1.073 1.526 0.253
3.349 4.579 6.315
0.407 4.579 5.579
4.015 1.526 0.988
2.063 4.579 2.548
2.359 1.526 4.020
-0.631 3.305 5.477
-0.631 5.854 5.477
2.577 4.579 0.496
1.757 4.579 4.636
2.664 1.526 1.931
1.844 1.526 6.072
5.052 0.252 1.090
5.052 2.801 1.090
```


# 5
SiAgTeO6 after structural relaxation, computed with PBE.

Summary:
Uncorrected energy   -104.90 eV/cell
SG   No. 163

POSCAR file:
```
SiAgTeO6
1.0
5.007 0.000 0.000
-2.503 4.336 0.000
0.000 0.000 9.775
Si Ag Te O
2 2 2 12
Cartesian
0.000 2.891 2.444
2.503 1.445 7.331
0.000 0.000 0.000
0.000 0.000 4.888
0.000 2.891 7.331
2.503 1.445 2.444
-0.859 1.669 1.416
-1.487 2.758 3.471
0.859 1.669 3.471
-0.628 4.245 1.416
1.875 0.091 6.304
1.016 1.579 8.359
1.487 2.758 1.416
0.628 4.245 3.471
3.132 0.091 8.359
1.645 2.667 6.304
3.990 1.579 6.304
3.362 2.667 8.359
```


# 6
TlSiAg2O4 after structural relaxation, computed with PBE.

Summary:
Uncorrected energy   -42.28 eV/cell
SG   No. 82

POSCAR file:
```
TlSiAg2O4
1.0
-3.082 3.082 3.093
3.082 -3.082 3.093
3.082 3.082 -3.093
Tl Si Ag O
1 1 2 4
Cartesian
0.000 0.000 0.000
0.000 3.082 1.546
3.082 0.000 1.546
0.000 0.000 3.093
2.154 0.987 -0.575
2.095 -0.929 3.667
0.987 4.011 0.575
0.929 2.095 2.518
```


# 7
TlSiAgO2 after structural relaxation, computed with PBE.

Summary:
Uncorrected energy   -17.63 eV/cell
SG   No. 123

POSCAR file:
```
TlSiAgO2
1.0
4.163 0.000 0.000
0.000 4.163 0.000
0.000 0.000 5.680
Tl Si Ag O
1 1 1 2
Cartesian
0.000 0.000 0.000
2.082 2.082 2.840
0.000 0.000 2.840
0.000 2.082 0.000
2.082 0.000 0.000
```


# 8
Tm3SiAg3O8 after structural relaxation, computed with PBE.

Summary:
Uncorrected energy   -99.85 eV/cell
SG   No. 12

POSCAR file:
```
Tm3SiAg3O8
1.0
5.676 -3.277 0.000
5.676 3.277 0.000
-3.789 0.000 5.722
Tm Si Ag O
3 1 3 8
Cartesian
0.000 0.000 0.000
2.838 1.638 0.000
2.838 -1.638 0.000
5.676 0.000 0.000
0.943 1.638 2.861
0.943 -1.638 2.861
3.781 0.000 2.861
1.892 0.000 1.034
4.884 1.371 1.002
0.304 0.000 4.719
2.678 1.371 4.720
4.884 -1.371 1.002
7.258 0.000 1.003
2.678 -1.371 4.720
5.670 0.000 4.688
```


# 9
TmSiAg2O4 after structural relaxation, computed with PBE.

Summary:
Uncorrected energy   -50.86 eV/cell
SG   No. 82

POSCAR file:
```
TmSiAg2O4
1.0
-2.634 2.634 4.523
2.634 -2.634 4.523
2.634 2.634 -4.523
Tm Si Ag O
1 1 2 4
Cartesian
0.000 0.000 0.000
0.000 2.634 2.261
2.634 0.000 2.261
0.000 0.000 4.523
-0.734 1.516 1.286
1.118 1.900 3.237
0.734 3.751 1.286
-1.118 3.368 3.237
```


# 10
USiAgO6 after structural relaxation, computed with PBE.

Summary:
Uncorrected energy   -135.85 eV/cell
SG   No. 163

POSCAR file:
```
USiAgO6
1.0
5.255 0.000 0.000
-2.628 4.551 0.000
0.000 0.000 9.467
U Si Ag O
2 2 2 12
Cartesian
0.000 3.034 2.367
2.628 1.517 7.100
0.000 3.034 7.100
2.628 1.517 2.367
0.000 0.000 0.000
0.000 0.000 4.734
-0.805 1.762 6.094
-1.504 2.973 8.107
0.805 1.762 8.107
-0.699 4.367 6.094
1.929 0.184 1.361
1.124 1.578 3.373
1.504 2.973 6.094
0.699 4.367 8.107
3.327 0.184 3.373
1.823 2.789 1.361
4.132 1.578 1.361
3.433 2.789 3.373
```


# 11
USi2AgO8 after structural relaxation, computed with PBE.

Summary:
Uncorrected energy   -90.78 eV/cell
SG   No. 164

POSCAR file:
```
USi2AgO8
1.0
5.506 0.000 0.000
-2.753 4.769 0.000
0.000 0.000 6.866
U Si Ag O
1 2 1 8
Cartesian
0.000 0.000 0.000
0.000 3.179 4.962
2.753 1.590 1.904
0.000 0.000 3.433
0.000 1.649 5.596
-1.325 3.944 5.596
0.000 3.179 3.346
1.428 0.824 1.270
1.325 3.944 5.596
2.753 1.590 3.520
4.079 0.824 1.270
2.753 3.120 1.270
```


Results for M_tot: 0.000, 0.000, 0.000, 0.000, 0.001, 0.000, 0.000, 0.000, 0.000, 0.079, 0.084 (in μB/atom, following the order of the records).
Results for calculated density: 4.77, 4.90, 6.05, 5.08, 5.63, 7.24, 6.28, 7.70, 6.31, 6.89, 4.88 (in Mg/m³, following the order of the records).
Results for energy relative to the elements, uncorrected: -2.429, -2.429, -1.897, -2.455, -1.254, -1.120, 0.586, -2.186, -1.929, -2.068, -2.177 (in eV per atom, following the order of the records).